DFT (meta-GGA SCAN) results for a crystal of RbMnAsSe2 relaxed with PBEsol.

Geometry as POSCAR:
```
RbMnAsSe2
1.0
-2.412 3.628 1.663
-3.740 -1.031 -3.175
-2.102 -2.976 3.442
As Mn Se Rb
1 1 2 1
Cartesian
-1.206 1.814 0.832 As
0.000 0.000 0.000 Mn
-1.051 -1.488 1.721 Se
-1.870 -0.515 -1.588 Se
-4.127 -0.190 0.965 Rb
```

Calculated values
- SG = P4/mmm
- VASP energy (eV/atom) = -20.299
- E_form (uncorrected) (eV/f.u.) = -2.2
- spin magnetization (μB per formula unit) = 3.0



DFT (meta-GGA SCAN) results for a crystal of MnHg2Cl relaxed with PBEsol.

Geometry as POSCAR:
```
MnHg2Cl
1.0
3.274 0.023 0.039
-0.041 5.300 0.084
-0.041 -2.529 4.658
Mn Hg Cl
1 2 1
Cartesian
1.596 1.396 2.391 Mn
-0.021 -1.265 2.329 Hg
-0.021 2.650 0.042 Hg
1.637 0.011 0.019 Cl
```

Calculated values
- SG = Cmmm
- VASP energy (eV/atom) = -40.789
- E_form (uncorrected) (eV/f.u.) = -0.6
- spin magnetization (μB per formula unit) = 4.5



DFT (meta-GGA SCAN) results for a crystal of Al2TeMo relaxed with PBEsol.

Geometry as POSCAR:
```
Al2TeMo
1.0
-0.734 -1.055 2.703
1.329 -2.601 -0.654
7.377 2.972 3.164
Mo Te Al
1 1 2
Cartesian
0.297 -1.828 1.024 Mo
3.986 -0.342 2.606 Te
5.969 2.405 2.560 Al
1.408 0.567 0.604 Al
```

Calculated values
- SG = P4/mmm
- VASP energy (eV/atom) = -21.697
- E_form (uncorrected) (eV/f.u.) = 0.9
- spin magnetization (μB per formula unit) = 0.9



Which formula does entry 1 have? RbMnAsSe2